(1)
Below is a geometry-optimized TiTcBi2Pt structure, with properties calculated at the GGA-PBE level.

Output
**Magnetization**: 1.83 μB per formula unit
**Calculated volume**: 27.7 Å³ per atom
**ΔE_f**: 1.18 eV/atom
**Total energy**: -5.2342 eV/atom

a = 5.3724 Å, b = 4.7974 Å, c = 5.3724 Å
α = 90.00°, β = 90.00°, γ = 90.00°
Site moments in Bohr magnetons follow the coordinates.
Sites, in units of the cell vectors:
Bi 0.5000 0.0000 0.0000  -0.02
Bi 0.0000 0.0000 0.5000  -0.03
Tc 0.0000 0.5000 0.0000  1.32
Pt 0.0000 0.0000 0.0000  0.01
Ti 0.5000 0.5000 0.5000  0.28



(2)
Below is a geometry-optimized TcBiPt2W structure, with properties calculated at the GGA-PBE level.

Output
**Magnetization**: 0.64 μB per formula unit
**Calculated volume**: 22.8 Å³ per atom
**ΔE_f**: 1.03 eV/atom
**Total energy**: -6.8279 eV/atom

a = 4.9521 Å, b = 4.6503 Å, c = 4.9521 Å
α = 90.00°, β = 90.00°, γ = 90.00°
Site moments in Bohr magnetons follow the coordinates.
Sites, in units of the cell vectors:
Pt 0.0000 0.0000 0.5000  -0.02
Pt 0.5000 0.0000 0.0000  0.00
W 0.0000 0.0000 0.0000  -0.15
Bi 0.5000 0.5000 0.5000  -0.01
Tc 0.0000 0.5000 0.0000  0.75



(3)
Below is a geometry-optimized ZrTc2BiPt structure, with properties calculated at the GGA-PBE level.

Output
**Magnetization**: 2.39 μB per formula unit
**Calculated volume**: 23.6 Å³ per atom
**ΔE_f**: 1.32 eV/atom
**Total energy**: -6.5163 eV/atom

a = 4.8155 Å, b = 5.0974 Å, c = 4.8155 Å
α = 90.00°, β = 90.00°, γ = 90.00°
Site moments in Bohr magnetons follow the coordinates.
Sites, in units of the cell vectors:
Tc 0.0000 0.0000 0.5000  1.06
Tc 0.5000 0.0000 0.0000  1.30
Bi 0.5000 0.5000 0.5000  -0.10
Pt 0.0000 0.5000 0.0000  0.07
Zr 0.0000 0.0000 0.0000  -0.10



(4)
Below is a geometry-optimized Bi2TePt2 structure, with properties calculated at the GGA-PBE level.

Output
**Magnetization**: 0.00 μB per formula unit
**Calculated volume**: 25.6 Å³ per atom
**E above lowest polymorph**: 101 meV per atom
**Formation energy from raw total energies**: -0.1471 eV per atom
**Total energy**: -4.7442 eV/atom

a = 3.9522 Å, b = 3.9522 Å, c = 8.6668 Å
α = 76.82°, β = 76.82°, γ = 90.00°
Sites, in units of the cell vectors:
Pt 0.2500 0.7500 0.5000
Pt 0.7500 0.2500 0.5000
Bi 0.3745 0.3745 0.2510
Bi 0.6255 0.6255 0.7490
Te 0.0000 0.0000 0.0000



(5)
Below is a geometry-optimized BiTe2Pt2 structure, with properties calculated at the GGA-PBE level.

Output
**Magnetization**: 0.00 μB per formula unit
**Calculated volume**: 24.8 Å³ per atom
**Formation energy from raw total energies**: -0.0322 eV per atom
**Total energy**: -4.4814 eV/atom

a = 3.9076 Å, b = 3.9076 Å, c = 8.5669 Å
α = 76.82°, β = 76.82°, γ = 90.00°
Sites, in units of the cell vectors:
Bi 0.0000 0.0000 0.0000
Pt 0.2500 0.7500 0.5000
Pt 0.7500 0.2500 0.5000
Te 0.3707 0.3707 0.2586
Te 0.6293 0.6293 0.7414



(6)
Below is a geometry-optimized Bi2TePt structure, with properties calculated at the GGA-PBE level.

Output
**Magnetization**: 0.00 μB per formula unit
**Calculated volume**: 27.6 Å³ per atom
**Formation energy from raw total energies**: -0.1909 eV per atom
**Total energy**: -4.4270 eV/atom

a = 7.7951 Å, b = 8.4229 Å, c = 6.7285 Å
α = 90.00°, β = 90.00°, γ = 90.00°
Sites, in units of the cell vectors:
Te 0.0626 0.5562 0.0470
Te 0.5626 0.0562 0.4530
Te 0.5626 0.4438 0.9530
Te 0.0626 0.9438 0.5470
Bi 0.7822 0.8332 0.1442
Bi 0.3429 0.6668 0.6442
Bi 0.7822 0.6668 0.6442
Bi 0.8429 0.3332 0.3558
Bi 0.3429 0.8332 0.1442
Bi 0.8429 0.1668 0.8558
Bi 0.2822 0.1668 0.8558
Bi 0.2822 0.3332 0.3558
Pt 0.5625 0.5736 0.3212
Pt 0.0625 0.0736 0.1788
Pt 0.0625 0.4264 0.6788
Pt 0.5625 0.9264 0.8212



(7)
Below is a geometry-optimized Bi2TePt structure, with properties calculated at the GGA-PBE level.

Output
**Magnetization**: 0.00 μB per formula unit
**Calculated volume**: 36.9 Å³ per atom
**Formation energy from raw total energies**: 0.0186 eV per atom
**Total energy**: -4.2175 eV/atom

a = 6.7010 Å, b = 6.7010 Å, c = 8.1091 Å
α = 65.60°, β = 65.60°, γ = 90.00°
Sites, in units of the cell vectors:
Pt 0.0000 0.0000 0.0000
Pt 0.7500 0.2500 0.5000
Te 0.2500 0.7500 0.5000
Te 0.5000 0.5000 0.0000
Bi 0.3750 0.3171 0.7500
Bi 0.6829 0.1250 0.2500
Bi 0.8750 0.9329 0.7500
Bi 0.0671 0.6250 0.2500



(8)
Below is a geometry-optimized Bi2TePt3 structure, with properties calculated at the GGA-PBE level.

Output
**Magnetization**: 0.00 μB per formula unit
**Calculated volume**: 24.0 Å³ per atom
**Formation energy from raw total energies**: -0.1387 eV per atom
**Total energy**: -4.9764 eV/atom

a = 5.5393 Å, b = 6.5413 Å, c = 8.5421 Å
α = 90.00°, β = 90.00°, γ = 111.32°
Sites, in units of the cell vectors:
Pt 0.6390 0.6460 0.2500
Pt 0.6171 0.0549 0.7500
Pt 0.9182 0.4964 0.7500
Pt 0.0818 0.5036 0.2500
Pt 0.3610 0.3540 0.7500
Pt 0.3829 0.9451 0.2500
Te 0.9820 0.0593 0.2500
Te 0.0180 0.9407 0.7500
Bi 0.3583 0.6931 0.5407
Bi 0.6417 0.3069 0.0407
Bi 0.6417 0.3069 0.4593
Bi 0.3583 0.6931 0.9593



(9)
Below is a geometry-optimized Bi2TePt2 structure, with properties calculated at the GGA-PBE level.

Output
**Magnetization**: 0.00 μB per formula unit
**Calculated volume**: 24.1 Å³ per atom
**E above lowest polymorph**: 92 meV per atom
**Formation energy from raw total energies**: -0.1566 eV per atom
**Total energy**: -4.7537 eV/atom

a = 4.2880 Å, b = 6.5385 Å, c = 9.3556 Å
α = 87.25°, β = 76.75°, γ = 70.86°
Sites, in units of the cell vectors:
Bi 0.2862 0.3304 0.0972
Bi 0.4687 0.3971 0.6655
Bi 0.7138 0.6696 0.9028
Bi 0.5313 0.6029 0.3345
Pt 0.1426 0.2883 0.4265
Pt 0.9414 0.1939 0.9233
Pt 0.0586 0.8061 0.0767
Pt 0.8574 0.7117 0.5735
Te 0.8240 0.0150 0.3370
Te 0.1760 0.9850 0.6630



(10)
Below is a geometry-optimized BiTePt3 structure, with properties calculated at the GGA-PBE level.

Output
**Magnetization**: 0.00 μB per formula unit
**Calculated volume**: 26.6 Å³ per atom
**E above lowest polymorph**: 515 meV per atom
**Formation energy from raw total energies**: 1.0638 eV per atom
**Total energy**: -3.9652 eV/atom

a = 5.1026 Å, b = 5.1026 Å, c = 5.1026 Å
α = 90.00°, β = 90.00°, γ = 90.00°
Sites, in units of the cell vectors:
Pt 0.5000 0.0000 0.0000
Pt 0.0000 0.5000 0.0000
Pt 0.0000 0.0000 0.5000
Te 0.5000 0.5000 0.5000
Bi 0.0000 0.0000 0.0000



(11)
Below is a geometry-optimized BiTe2Pt2 structure, with properties calculated at the GGA-PBE level.

Output
**Magnetization**: 0.00 μB per formula unit
**Calculated volume**: 24.1 Å³ per atom
**Formation energy from raw total energies**: 0.0830 eV per atom
**Total energy**: -4.3662 eV/atom

a = 4.5290 Å, b = 4.5290 Å, c = 6.6916 Å
α = 70.22°, β = 70.22°, γ = 90.00°
Sites, in units of the cell vectors:
Te 0.2500 0.7500 0.5000
Te 0.7500 0.2500 0.5000
Pt 0.6130 0.6130 0.7740
Pt 0.3870 0.3870 0.2260
Bi 0.0000 0.0000 0.0000



(12)
Below is a geometry-optimized BiTe2Pt2 structure, with properties calculated at the GGA-PBE level.

Output
**Magnetization**: 0.00 μB per formula unit
**Calculated volume**: 26.0 Å³ per atom
**Formation energy from raw total energies**: -0.2992 eV per atom
**Total energy**: -4.7483 eV/atom

a = 4.2990 Å, b = 6.9699 Å, c = 8.9200 Å
α = 103.10°, β = 90.00°, γ = 90.00°
Sites, in units of the cell vectors:
Te 0.2500 0.7804 0.0010
Te 0.7500 0.4547 0.6799
Te 0.7500 0.2196 0.9990
Te 0.2500 0.5453 0.3201
Bi 0.2500 0.9530 0.6485
Bi 0.7500 0.0470 0.3515
Pt 0.7500 0.7077 0.4825
Pt 0.2500 0.2923 0.5175
Pt 0.7500 0.8486 0.8302
Pt 0.2500 0.1514 0.1698



(13)
Below is a geometry-optimized Bi2TePt2 structure, with properties calculated at the GGA-PBE level.

Output
**Magnetization**: 0.00 μB per formula unit
**Calculated volume**: 24.3 Å³ per atom
**E above lowest polymorph**: 328 meV per atom
**Formation energy from raw total energies**: 0.0798 eV per atom
**Total energy**: -4.5172 eV/atom

a = 8.6128 Å, b = 8.6128 Å, c = 3.2695 Å
α = 90.00°, β = 90.00°, γ = 90.00°
Sites, in units of the cell vectors:
Bi 0.3272 0.8272 0.0000
Bi 0.6728 0.1728 0.0000
Bi 0.1728 0.3272 0.0000
Bi 0.8272 0.6728 0.0000
Te 0.0000 0.0000 0.0000
Te 0.5000 0.5000 0.0000
Pt 0.1151 0.6151 0.5000
Pt 0.6151 0.8849 0.5000
Pt 0.8849 0.3849 0.5000
Pt 0.3849 0.1151 0.5000



(14)
Below is a geometry-optimized Bi2TePt structure, with properties calculated at the GGA-PBE level.

Output
**Magnetization**: 0.00 μB per formula unit
**Calculated volume**: 28.4 Å³ per atom
**Formation energy from raw total energies**: -0.1527 eV per atom
**Total energy**: -4.3888 eV/atom

a = 4.1371 Å, b = 4.1371 Å, c = 8.0326 Å
α = 75.08°, β = 75.08°, γ = 60.00°
Sites, in units of the cell vectors:
Te 0.4986 0.4986 0.5043
Pt 0.6662 0.6662 0.0013
Bi 0.2670 0.2670 0.1991
Bi 0.0682 0.0682 0.7954



(15)
Below is a geometry-optimized Bi2TePt2 structure, with properties calculated at the GGA-PBE level.

Output
**Magnetization**: 0.00 μB per formula unit
**Calculated volume**: 23.5 Å³ per atom
**E above lowest polymorph**: 134 meV per atom
**Formation energy from raw total energies**: -0.1148 eV per atom
**Total energy**: -4.7118 eV/atom

a = 7.6779 Å, b = 7.6779 Å, c = 3.9941 Å
α = 90.00°, β = 90.00°, γ = 90.00°
Sites, in units of the cell vectors:
Pt 0.3667 0.8667 0.0000
Pt 0.1333 0.3667 0.0000
Pt 0.6333 0.1333 0.0000
Pt 0.8667 0.6333 0.0000
Te 0.5000 0.5000 0.0000
Te 0.0000 0.0000 0.0000
Bi 0.3407 0.1593 0.5000
Bi 0.6593 0.8407 0.5000
Bi 0.1593 0.6593 0.5000
Bi 0.8407 0.3407 0.5000



(16)
Below is a geometry-optimized BiTePt2 structure, with properties calculated at the GGA-PBE level.

Output
**Magnetization**: 0.00 μB per formula unit
**Calculated volume**: 26.1 Å³ per atom
**E above lowest polymorph**: 197 meV per atom
**Formation energy from raw total energies**: -0.0423 eV per atom
**Total energy**: -4.8183 eV/atom

a = 5.1611 Å, b = 5.1611 Å, c = 8.6545 Å
α = 72.65°, β = 72.65°, γ = 90.00°
Sites, in units of the cell vectors:
Bi 0.0000 0.0000 0.0000
Bi 0.7500 0.2500 0.5000
Pt 0.1803 0.6250 0.2500
Pt 0.8750 0.8197 0.7500
Pt 0.5697 0.1250 0.2500
Pt 0.3750 0.4303 0.7500
Te 0.5000 0.5000 0.0000
Te 0.2500 0.7500 0.5000



(17)
Below is a geometry-optimized Bi2Te2Pt3 structure, with properties calculated at the GGA-PBE level.

Output
**Magnetization**: 0.00 μB per formula unit
**Calculated volume**: 24.7 Å³ per atom
**E above lowest polymorph**: 0 meV per atom
**Formation energy from raw total energies**: -0.2906 eV per atom
**Total energy**: -4.8860 eV/atom

a = 4.3512 Å, b = 7.1264 Å, c = 6.9356 Å
α = 120.24°, β = 108.28°, γ = 90.00°
Sites, in units of the cell vectors:
Bi 0.3655 0.7013 0.7310
Bi 0.6345 0.2987 0.2690
Pt 0.7391 0.7655 0.4781
Pt 0.0000 0.0000 0.0000
Pt 0.2609 0.2345 0.5219
Te 0.8812 0.2256 0.7624
Te 0.1188 0.7744 0.2376



(18)
Below is a geometry-optimized BiTe2Pt structure, with properties calculated at the GGA-PBE level.

Output
**Magnetization**: 0.00 μB per formula unit
**Calculated volume**: 35.2 Å³ per atom
**Formation energy from raw total energies**: -0.0197 eV per atom
**Total energy**: -4.0710 eV/atom

a = 6.7115 Å, b = 6.7115 Å, c = 7.8557 Å
α = 64.71°, β = 64.71°, γ = 90.00°
Sites, in units of the cell vectors:
Pt 0.2500 0.7500 0.5000
Pt 0.5000 0.5000 0.0000
Te 0.8750 0.8143 0.7500
Te 0.5643 0.1250 0.2500
Te 0.3750 0.4357 0.7500
Te 0.1857 0.6250 0.2500
Bi 0.7500 0.2500 0.5000
Bi 0.0000 0.0000 0.0000



(19)
Below is a geometry-optimized BiTe2Pt structure, with properties calculated at the GGA-PBE level.

Output
**Magnetization**: 0.00 μB per formula unit
**Calculated volume**: 29.9 Å³ per atom
**Formation energy from raw total energies**: -0.1100 eV per atom
**Total energy**: -4.1613 eV/atom

a = 8.8370 Å, b = 8.0679 Å, c = 8.2614 Å
α = 125.64°, β = 90.00°, γ = 90.00°
Sites, in units of the cell vectors:
Te 0.1782 0.7607 0.2385
Te 0.8218 0.2393 0.7615
Te 0.6782 0.7393 0.7615
Te 0.1742 0.8806 0.8456
Te 0.3218 0.2607 0.2385
Te 0.8258 0.1194 0.1544
Te 0.3258 0.3806 0.8456
Te 0.6742 0.6194 0.1544
Bi 0.0643 0.3172 0.5345
Bi 0.5643 0.1828 0.4655
Bi 0.9357 0.6828 0.4655
Bi 0.4357 0.8172 0.5345
Pt 0.1256 0.0614 0.6498
Pt 0.6256 0.4386 0.3502
Pt 0.3744 0.5614 0.6498
Pt 0.8744 0.9386 0.3502



(20)
Below is a geometry-optimized Bi3Te2Pt structure, with properties calculated at the GGA-PBE level.

Output
**Magnetization**: 0.00 μB per formula unit
**Calculated volume**: 30.2 Å³ per atom
**Formation energy from raw total energies**: -0.2022 eV per atom
**Total energy**: -4.1967 eV/atom

a = 7.5054 Å, b = 7.5055 Å, c = 7.8034 Å
α = 99.16°, β = 99.16°, γ = 119.67°
Sites, in units of the cell vectors:
Bi 0.4053 0.1111 0.2155
Bi 0.2613 0.2223 0.7845
Bi 0.0309 0.3643 0.2010
Bi 0.7777 0.7387 0.2155
Bi 0.8889 0.5947 0.7845
Bi 0.6357 0.9691 0.7990
Pt 0.6656 0.3344 0.0000
Pt 0.0010 0.9990 0.0000
Te 0.4914 0.5086 0.5000
Te 0.1753 0.8247 0.5000
Te 0.8334 0.1666 0.5000
Te 0.3333 0.6667 0.0000